Mn9O13: relaxed, PBE+U.

Its theoretical density is 4462 kg/m³. The density of states at the Fermi level is 0.222 states/eV/atom. The value obtained for the total energy is -309.01 eV for the cell shown. Its crystal system is monoclinic.

It has space group C2/m (No. 12), with a = 9.9073 Å, b = 3.0244 Å, c = 17.5461 Å, α = 90.00°, β = 96.06° and γ = 90.00°. The asymmetric unit holds Mn at (0.0000, 0.0000, 0.0000), Mn at (0.0113, 0.5000, 0.1792), Mn at (0.0603, 0.5000, 0.3739), Mn at (0.1460, 0.0000, 0.5391), Mn at (0.2475, 0.0000, 0.9215), O at (0.0000, 0.5000, 0.5000), O at (0.0638, 0.0000, 0.6294), O at (0.1110, 0.5000, 0.2808), O at (0.1193, 0.0000, 0.8375), O at (0.1332, 0.0000, 0.1085), O at (0.1472, 0.5000, 0.9718) and O at (0.2173, 0.0000, 0.4372).